Material: Zr2CdCu2
Method: DFT, PBE-GGA
State: relaxed

Calculated values
Calculated formation energy, eV/f.u.: 0.9

a = 4.2340 Å, b = 4.2340 Å, c = 6.3499 Å
α = 70.53°, β = 70.53°, γ = 90.00°
With the nearest neighbours (Å) after each atom.
Atoms (fractional coordinates):
Zr 0.2500 0.7500 0.5000  4 Cu 2.70, 4 Zr 2.99
Zr 0.7500 0.2500 0.5000  4 Cu 2.70, 4 Zr 2.99
Cu 0.6005 0.6005 0.7989  1 Cu 2.25
Cu 0.3995 0.3995 0.2011  1 Cu 2.25
Cd 0.0000 0.0000 0.0000  8 Cu 3.20, 8 Zr 3.51